1.
Hf2NiPt: relaxed, GGA-PBE. Values from VASP.

Results
The space group is No. 123. Its total energy is -8.647 eV per atom. For the formation energy, the calculation gives -2.86 eV per formula unit.

Cell and atoms, written as Quantum ESPRESSO input:
```
&SYSTEM
  ibrav = 0, nat = 4, ntyp = 3
/
ATOMIC_SPECIES
Ni 58.69 Ni.upf
Hf 178.49 Hf.upf
Pt 195.08 Pt.upf
ATOMIC_POSITIONS angstrom
Ni 1.6260 1.6260 0.0000
Hf 0.0000 0.0000 4.9745
Hf 0.0000 0.0000 1.5655
Pt 1.6260 1.6260 3.2700
CELL_PARAMETERS angstrom
3.2521 0.0000 0.0000
0.0000 3.2521 0.0000
0.0000 0.0000 6.5399
```

2.
Ba2SiTcSe: relaxed, GGA-PBE. Values from VASP.

Results
The space group is No. 123. As for the formation energy without anion corrections: 0.52 eV/atom. Its total energy is -4.104 eV per atom.

Cell and atoms, written as Quantum ESPRESSO input:
```
&SYSTEM
  ibrav = 0, nat = 5, ntyp = 4
/
ATOMIC_SPECIES
Si 28.09 Si.upf
Ba 137.33 Ba.upf
Se 78.96 Se.upf
Tc 98.00 Tc.upf
ATOMIC_POSITIONS angstrom
Si 0.0000 2.4449 0.0000
Ba 0.0000 0.0000 3.0857
Ba 3.0857 0.0000 0.0000
Se 0.0000 0.0000 0.0000
Tc 3.0857 2.4449 3.0857
CELL_PARAMETERS angstrom
6.1713 0.0000 0.0000
0.0000 4.8898 0.0000
0.0000 0.0000 6.1713
```

3.
HfSiGe3: relaxed, GGA-PBE. Values from VASP.

Results
The calculation puts the relative energy among the computed polymorphs at 11.7 kJ/mol of atoms. The space group is No. 221. As for the formation energy without anion corrections: 0.83 eV/atom. Its total energy is -5.016 eV per atom.

Cell and atoms, written as Quantum ESPRESSO input:
```
&SYSTEM
  ibrav = 0, nat = 5, ntyp = 3
/
ATOMIC_SPECIES
Ge 72.64 Ge.upf
Hf 178.49 Hf.upf
Si 28.09 Si.upf
ATOMIC_POSITIONS angstrom
Ge 0.0000 2.5674 0.0000
Ge 0.0000 0.0000 2.5674
Ge 2.5674 0.0000 0.0000
Hf 0.0000 0.0000 0.0000
Si 2.5674 2.5674 2.5674
CELL_PARAMETERS angstrom
5.1348 0.0000 0.0000
0.0000 5.1348 0.0000
0.0000 0.0000 5.1348
```

4.
KNiPCl2: relaxed, GGA-PBE. Values from VASP.

Results
The calculation puts the relative energy among the computed polymorphs at 134.4 kJ/mol of atoms. The space group is No. 123. As for the formation energy without anion corrections: 0.87 eV/atom. Its total energy is -2.322 eV per atom.

Cell and atoms, written as Quantum ESPRESSO input:
```
&SYSTEM
  ibrav = 0, nat = 5, ntyp = 4
/
ATOMIC_SPECIES
Ni 58.69 Ni.upf
K 39.10 K.upf
P 30.97 P.upf
Cl 35.45 Cl.upf
ATOMIC_POSITIONS angstrom
Ni 2.8754 2.8754 2.9511
K 0.0000 0.0000 0.0000
P 0.0000 0.0000 2.9511
Cl 0.0000 2.8754 0.0000
Cl 2.8754 0.0000 0.0000
CELL_PARAMETERS angstrom
5.7508 0.0000 0.0000
0.0000 5.7508 0.0000
0.0000 0.0000 5.9022
```

5.
Re2Cl: relaxed, GGA-PBE. Values from VASP.

Results
The calculation puts the relative energy among the computed polymorphs at 14.1 kJ/mol of atoms. The space group is No. 71. As for the formation energy without anion corrections: 0.33 eV/atom. Its total energy is -8.589 eV per atom.

Cell and atoms, written as Quantum ESPRESSO input:
```
&SYSTEM
  ibrav = 0, nat = 3, ntyp = 2
/
ATOMIC_SPECIES
Re 186.21 Re.upf
Cl 35.45 Cl.upf
ATOMIC_POSITIONS angstrom
Re -2.0904 -0.0315 0.7143
Re -8.9384 -0.1349 3.0543
Cl -0.1909 1.3805 -0.4978
CELL_PARAMETERS angstrom
-5.7757 -2.0122 1.0345
-5.2531 1.8458 2.7342
4.8712 0.9153 -3.7297
```

6.
KLi4U3O12: relaxed, GGA-PBE. Values from VASP.

Results
The space group is No. 155. As for the formation energy without anion corrections: -2.58 eV/atom. Its total energy is -7.690 eV per atom.

Cell and atoms, written as Quantum ESPRESSO input:
```
&SYSTEM
  ibrav = 0, nat = 20, ntyp = 4
/
ATOMIC_SPECIES
K 39.10 K.upf
Li 6.94 Li.upf
U 238.03 U.upf
O 16.00 O.upf
ATOMIC_POSITIONS angstrom
K 0.0000 0.0000 0.0000
Li -3.2578 -4.3859 3.4847
Li 3.9493 0.3035 5.1287
Li 3.6783 -5.0154 -1.8191
Li 1.4566 -3.0326 2.2648
U 0.2701 -4.2065 -0.9647
U -1.3376 -1.3601 3.8806
U 3.9806 -0.4987 1.6137
O 0.6219 -2.2877 3.7990
O -0.7479 -5.9829 -0.2679
O 5.6258 -1.8358 1.1859
O -0.5082 -1.2791 5.8764
O 4.6437 -3.9326 -0.5669
O 2.2594 -0.4255 5.6626
O -2.2787 -5.2699 2.0946
O 1.8230 -5.3040 -1.4356
O 4.6409 -0.3036 3.4478
O -2.3488 -2.9599 4.3862
O 0.5201 -4.2859 1.1889
O 3.2277 -2.5242 1.8065
CELL_PARAMETERS angstrom
-4.4841 -5.5712 0.2655
6.2210 -2.4982 -2.5046
1.1762 2.0042 6.7687
```

7.
LiZn5: relaxed, GGA-PBE. Values from VASP.

Results
The calculation puts the relative energy among the computed polymorphs at 1.9 kJ/mol of atoms. The space group is No. 2. Its total energy is -1.468 eV per atom. For the formation energy, the calculation gives -0.53 eV per formula unit.

Cell and atoms, written as Quantum ESPRESSO input:
```
&SYSTEM
  ibrav = 0, nat = 6, ntyp = 2
/
ATOMIC_SPECIES
Li 6.94 Li.upf
Zn 65.41 Zn.upf
ATOMIC_POSITIONS angstrom
Li -2.0855 0.5305 1.1989
Zn -1.7550 5.3296 1.6630
Zn -0.7583 2.8045 2.1092
Zn -1.0482 2.2694 -0.6081
Zn 0.3876 4.5555 0.2760
Zn -3.1921 3.0442 0.7784
CELL_PARAMETERS angstrom
-1.2887 1.9895 -3.1663
-3.2518 -0.9517 3.2161
2.6563 4.5463 1.8197
```

8.
GaAgHg2: relaxed, GGA-PBE. Values from VASP.

Results
The space group is No. 123. Its total energy is -1.532 eV per atom. For the formation energy, the calculation gives 0.35 eV per formula unit.

Cell and atoms, written as Quantum ESPRESSO input:
```
&SYSTEM
  ibrav = 0, nat = 4, ntyp = 3
/
ATOMIC_SPECIES
Ga 69.72 Ga.upf
Hg 200.59 Hg.upf
Ag 107.87 Ag.upf
ATOMIC_POSITIONS angstrom
Ga -2.1849 -3.3479 -1.4986
Hg -3.2634 -3.8713 1.3343
Hg -1.0434 -1.2377 0.4266
Ag -0.0316 -0.7934 -2.3790
CELL_PARAMETERS angstrom
-1.9927 0.6974 -2.8502
1.9295 -2.2841 -1.9079
-4.3067 -5.1090 1.7609
```

9.
TcMoW3: relaxed, GGA-PBE. Values from VASP.

Results
The calculation puts the relative energy among the computed polymorphs at 69.4 kJ/mol of atoms. The space group is No. 161. Its total energy is -11.247 eV per atom. For the formation energy, the calculation gives 3.82 eV per formula unit.

Cell and atoms, written as Quantum ESPRESSO input:
```
&SYSTEM
  ibrav = 0, nat = 10, ntyp = 3
/
ATOMIC_SPECIES
Tc 98.00 Tc.upf
Mo 95.94 Mo.upf
W 183.84 W.upf
ATOMIC_POSITIONS angstrom
Tc 4.6342 -9.1638 2.3682
Tc 1.5571 -3.0790 0.7957
Mo 5.7437 -11.3576 2.9351
Mo 2.6666 -5.2729 1.3627
W 4.8820 -4.2938 0.5114
W 1.9642 -4.9178 3.8064
W 1.0632 -6.4285 -0.2760
W 4.3669 -7.2586 0.4269
W 2.2187 -7.9204 2.0695
W 4.4010 -6.5459 3.1180
CELL_PARAMETERS angstrom
-0.9633 -5.9328 -0.3128
4.9489 -3.1867 -1.2559
2.1686 -3.0500 4.7136
```

10.
Nb2V2Mo3: relaxed, GGA-PBE. Values from VASP.

Results
The calculation puts the relative energy among the computed polymorphs at 0.0 kJ/mol of atoms. The space group is No. 12. Its total energy is -10.201 eV per atom. For the formation energy, the calculation gives -0.54 eV per formula unit.

Cell and atoms, written as Quantum ESPRESSO input:
```
&SYSTEM
  ibrav = 0, nat = 7, ntyp = 3
/
ATOMIC_SPECIES
Nb 92.91 Nb.upf
V 50.94 V.upf
Mo 95.94 Mo.upf
ATOMIC_POSITIONS angstrom
Nb 3.6284 -0.5883 6.0575
Nb 1.6913 0.8473 3.9550
V 3.2648 -0.9294 8.7974
V 2.0549 1.1884 1.2151
Mo 4.0090 -0.3260 3.1894
Mo 0.0000 0.0000 0.0000
Mo 1.3106 0.5850 6.8231
CELL_PARAMETERS angstrom
4.3556 0.0000 0.5780
0.0865 2.7159 -0.6519
0.8776 -2.4568 10.0864
```

11.
SrYSe2F: relaxed, GGA-PBE. Values from VASP.

Results
The space group is No. 129. As for the formation energy without anion corrections: -2.49 eV/atom. Its total energy is -5.888 eV per atom.

Cell and atoms, written as Quantum ESPRESSO input:
```
&SYSTEM
  ibrav = 0, nat = 10, ntyp = 4
/
ATOMIC_SPECIES
Sr 87.62 Sr.upf
Y 88.91 Y.upf
Se 78.96 Se.upf
F 19.00 F.upf
ATOMIC_POSITIONS angstrom
Sr -2.5249 -0.0306 8.6106
Sr 0.7467 -0.2458 6.1636
Y -1.5702 -1.2604 1.8214
Y -0.2079 0.9840 12.9527
Se 0.1513 0.5213 10.3982
Se 1.3702 -1.0491 1.7294
Se -3.1484 0.7727 13.0448
Se -1.9294 -0.7977 4.3760
F -1.0002 1.2885 7.1130
F -0.7779 -1.5649 7.6612
CELL_PARAMETERS angstrom
-2.6557 -3.1452 0.1963
3.1003 -2.5616 0.9000
-2.0004 2.5770 14.2260
```

12.
Rb2MgSn2: relaxed, GGA-PBE. Values from VASP.

Results
The calculation puts the relative energy among the computed polymorphs at 0.0 kJ/mol of atoms. The space group is No. 127. Its total energy is -2.188 eV per atom. For the formation energy, the calculation gives 0.60 eV per formula unit.

Cell and atoms, written as Quantum ESPRESSO input:
```
&SYSTEM
  ibrav = 0, nat = 10, ntyp = 3
/
ATOMIC_SPECIES
Mg 24.30 Mg.upf
Sn 118.71 Sn.upf
Rb 85.47 Rb.upf
ATOMIC_POSITIONS angstrom
Mg 0.0000 0.0000 0.0000
Mg 5.3719 5.3719 0.0000
Sn 4.3634 9.7353 0.0000
Sn 9.7353 6.3804 0.0000
Sn 6.3804 1.0085 0.0000
Sn 1.0085 4.3634 0.0000
Rb 2.1562 7.5281 1.7619
Rb 7.5281 8.5876 1.7619
Rb 8.5876 3.2157 1.7619
Rb 3.2157 2.1562 1.7619
CELL_PARAMETERS angstrom
10.7438 0.0000 0.0000
0.0000 10.7438 0.0000
0.0000 0.0000 3.5237
```